! Rb3Pa3CuTe8, optimized geometry, DFT PBE; values from VASP
&SYSTEM
  ibrav = 0, nat = 15, ntyp = 4
/
ATOMIC_SPECIES
Rb 85.47 Rb.upf
Pa 231.04 Pa.upf
Cu 63.55 Cu.upf
Te 127.60 Te.upf
CELL_PARAMETERS angstrom
9.338 0.000 0.000
-4.669 7.312 0.193
0.000 -4.572 8.560
ATOMIC_POSITIONS crystal
Rb 0.000 0.000 0.000
Rb 0.000 0.500 0.000
Rb 0.500 0.500 0.000
Pa 0.500 0.000 0.500
Pa 0.500 0.500 0.500
Pa 0.000 0.500 0.500
Cu 0.000 0.000 0.500
Te 0.264 0.529 0.296
Te 0.736 0.471 0.704
Te 0.804 0.609 0.331
Te 0.196 0.391 0.669
Te 0.749 0.049 0.290
Te 0.251 0.951 0.710
Te 0.300 0.049 0.290
Te 0.700 0.951 0.710
! - VASP energy (eV/cell) = -72.494
! - N(E_F) (states/eV/cell) = 14.884
! - symmetry = C2/m